(1)
{"formula": "YSn3Se", "functional": "PBE", "state": "optimized geometry", "lattice_angstrom": [[5.428, 0.000, 0.000], [0.000, 5.428, 0.000], [0.000, 0.000, 5.428]], "species": ["Y", "Sn", "Sn", "Sn", "Se"], "fractional_positions": [[0.000, 0.000, 0.000], [0.000, 0.500, 0.500], [0.500, 0.000, 0.500], [0.500, 0.500, 0.000], [0.500, 0.500, 0.500]], "e_form_raw_mev_per_atom": 185, "energy_ev_per_atom": -4.206, "polymorph_energy_ev_per_atom": 0.000}

***

(2)
{"formula": "Ho2ErThN4", "functional": "PBE", "state": "optimized geometry", "lattice_angstrom": [[6.063, 0.000, 0.000], [0.000, 3.512, 0.000], [-2.006, 0.000, 5.722]], "species": ["Ho", "Ho", "Er", "Th", "N", "N", "N", "N"], "fractional_positions": [[0.000, 0.000, 0.000], [0.500, 0.500, 0.000], [0.000, 0.500, 0.500], [0.500, 0.000, 0.500], [0.245, 0.500, 0.247], [0.248, 0.000, 0.750], [0.752, 0.000, 0.250], [0.755, 0.500, 0.753]], "e_form_raw_mev_per_atom": -1700, "energy_ev_per_atom": -8.505}

***

(3)
{"formula": "BaNa3Cd2", "functional": "PBE", "state": "optimized geometry", "lattice_angstrom": [[9.824, -2.469, 0.000], [9.824, 2.469, 0.000], [-5.628, 0.000, 8.884]], "species": ["Ba", "Ba", "Na", "Na", "Na", "Na", "Na", "Na", "Cd", "Cd", "Cd", "Cd"], "fractional_positions": [[0.130, 0.130, 0.131], [0.870, 0.870, 0.869], [0.000, 0.000, 0.344], [0.000, 0.000, 0.656], [0.333, 0.333, 0.138], [0.333, 0.333, 0.528], [0.667, 0.667, 0.472], [0.667, 0.667, 0.862], [0.208, 0.208, 0.708], [0.500, 0.500, 0.147], [0.500, 0.500, 0.853], [0.792, 0.792, 0.292]], "energy_ev_per_atom": -1.385, "polymorph_energy_ev_per_atom": 0.016, "ef_ev_per_fu": -0.6}

***

(4)
{"formula": "Tb2TiIr2", "functional": "PBE", "state": "optimized geometry", "lattice_angstrom": [[5.048, -2.843, 0.000], [5.048, 2.843, 0.000], [-1.634, 0.000, 7.433]], "species": ["Tb", "Tb", "Tb", "Tb", "Ti", "Ti", "Ir", "Ir", "Ir", "Ir"], "fractional_positions": [[0.015, 0.279, 0.146], [0.279, 0.015, 0.646], [0.721, 0.985, 0.354], [0.985, 0.721, 0.854], [0.392, 0.608, 0.250], [0.608, 0.392, 0.750], [0.226, 0.508, 0.500], [0.492, 0.774, 0.000], [0.508, 0.226, 0.000], [0.774, 0.492, 0.500]], "energy_ev_per_atom": -7.760, "ef_ev_per_fu": -3.9}

***

(5)
{"formula": "TlPSe", "functional": "PBE", "state": "optimized geometry", "lattice_angstrom": [[4.376, 0.000, 0.000], [-2.188, 3.790, 0.000], [0.000, 0.000, 4.866]], "species": ["Tl", "P", "Se"], "fractional_positions": [[0.000, 0.000, 0.000], [0.667, 0.333, 0.588], [0.333, 0.667, 0.480]], "e_form_raw_mev_per_atom": 189, "energy_ev_per_atom": -3.564, "polymorph_energy_ev_per_atom": 0.045}

***

(6)
{"formula": "CrIr2Au", "functional": "PBE", "state": "optimized geometry", "lattice_angstrom": [[-1.953, 1.953, 3.895], [1.953, -1.953, 3.895], [1.953, 1.953, -3.895]], "species": ["Cr", "Ir", "Ir", "Au"], "fractional_positions": [[0.000, 0.000, 0.000], [0.250, 0.750, 0.500], [0.750, 0.250, 0.500], [0.500, 0.500, 0.000]], "energy_ev_per_atom": -7.493, "polymorph_energy_ev_per_atom": 0.139, "ef_ev_per_fu": 0.7}

***

(7)
{"formula": "Na2HgPdF6", "functional": "PBE", "state": "optimized geometry", "lattice_angstrom": [[0.000, 4.421, 4.421], [4.421, 0.000, 4.421], [4.421, 4.421, 0.000]], "species": ["Na", "Na", "Hg", "Pd", "F", "F", "F", "F", "F", "F"], "fractional_positions": [[0.250, 0.250, 0.250], [0.750, 0.750, 0.750], [0.000, 0.000, 0.000], [0.500, 0.500, 0.500], [0.261, 0.261, 0.739], [0.261, 0.739, 0.261], [0.261, 0.739, 0.739], [0.739, 0.261, 0.261], [0.739, 0.261, 0.739], [0.739, 0.739, 0.261]], "e_form_raw_mev_per_atom": -1704, "energy_ev_per_atom": -3.640, "polymorph_energy_ev_per_atom": 0.181}

***

(8)
{"formula": "LuAg3", "functional": "PBE", "state": "optimized geometry", "lattice_angstrom": [[0.000, 3.419, 3.419], [3.419, 0.000, 3.419], [3.419, 3.419, 0.000]], "species": ["Lu", "Ag", "Ag", "Ag"], "fractional_positions": [[0.000, 0.000, 0.000], [0.250, 0.250, 0.250], [0.500, 0.500, 0.500], [0.750, 0.750, 0.750]], "energy_ev_per_atom": -3.473, "polymorph_energy_ev_per_atom": 0.017, "ef_ev_per_fu": -0.8}

***

(9)
{"formula": "K4IrRh3S8", "functional": "PBE", "state": "optimized geometry", "lattice_angstrom": [[3.730, 2.153, 6.756], [-3.730, 2.153, 6.756], [0.000, -4.307, 6.756]], "species": ["K", "K", "K", "K", "Ir", "Rh", "Rh", "Rh", "S", "S", "S", "S", "S", "S", "S", "S"], "fractional_positions": [[0.000, 0.000, 0.000], [0.000, 0.500, 0.500], [0.500, 0.000, 0.500], [0.500, 0.500, 0.000], [0.500, 0.500, 0.500], [0.000, 0.000, 0.500], [0.000, 0.500, 0.000], [0.500, 0.000, 0.000], [0.222, 0.222, 0.222], [0.223, 0.721, 0.721], [0.279, 0.279, 0.777], [0.279, 0.777, 0.279], [0.721, 0.223, 0.721], [0.721, 0.721, 0.223], [0.777, 0.279, 0.279], [0.778, 0.778, 0.778]], "e_form_raw_mev_per_atom": -745, "energy_ev_per_atom": -5.015}

***

(10)
{"formula": "Li2GaSn", "functional": "PBE", "state": "optimized geometry", "lattice_angstrom": [[-1.602, 2.609, 5.368], [1.602, -2.609, 5.368], [1.602, 2.609, -5.368]], "species": ["Li", "Li", "Ga", "Sn"], "fractional_positions": [[0.242, 0.242, 0.000], [0.758, 0.758, 0.000], [0.000, 0.000, 0.000], [0.500, 0.500, 0.000]], "energy_ev_per_atom": -2.667, "ef_ev_per_fu": 0.2}

***

(11)
{"formula": "TiZnReO6", "functional": "PBE", "state": "optimized geometry", "lattice_angstrom": [[5.070, 0.000, 0.000], [-2.535, 4.391, 0.000], [0.000, 0.000, 9.090]], "species": ["Ti", "Ti", "Zn", "Zn", "Re", "Re", "O", "O", "O", "O", "O", "O", "O", "O", "O", "O", "O", "O"], "fractional_positions": [[0.333, 0.667, 0.250], [0.667, 0.333, 0.750], [0.000, 0.000, 0.000], [0.000, 0.000, 0.500], [0.333, 0.667, 0.750], [0.667, 0.333, 0.250], [0.006, 0.355, 0.634], [0.006, 0.652, 0.866], [0.348, 0.355, 0.866], [0.348, 0.994, 0.634], [0.355, 0.006, 0.134], [0.355, 0.348, 0.366], [0.645, 0.652, 0.634], [0.645, 0.994, 0.866], [0.652, 0.006, 0.366], [0.652, 0.645, 0.134], [0.994, 0.348, 0.134], [0.994, 0.645, 0.366]], "e_form_raw_mev_per_atom": -1895, "energy_ev_per_atom": -7.602}

***

(12)
{"formula": "BaNiN2", "functional": "PBE", "state": "optimized geometry", "lattice_angstrom": [[-2.976, 2.976, 3.425], [2.976, -2.976, 3.425], [2.976, 2.976, -3.425]], "species": ["Ba", "Ba", "Ni", "Ni", "N", "N", "N", "N"], "fractional_positions": [[0.000, 0.000, 0.000], [0.750, 0.250, 0.500], [0.250, 0.750, 0.500], [0.500, 0.500, 0.000], [0.259, 0.625, 0.134], [0.375, 0.509, 0.634], [0.491, 0.125, 0.866], [0.875, 0.741, 0.366]], "e_form_raw_mev_per_atom": 69, "energy_ev_per_atom": -6.020}

***

(13)
{"formula": "Ce4NdTh3S8", "functional": "PBE", "state": "optimized geometry", "lattice_angstrom": [[4.036, 2.330, 6.588], [-4.036, 2.330, 6.588], [0.000, -4.660, 6.588]], "species": ["Ce", "Ce", "Ce", "Ce", "Nd", "Th", "Th", "Th", "S", "S", "S", "S", "S", "S", "S", "S"], "fractional_positions": [[0.000, 0.000, 0.000], [0.000, 0.500, 0.500], [0.500, 0.000, 0.500], [0.500, 0.500, 0.000], [0.500, 0.500, 0.500], [0.000, 0.000, 0.500], [0.000, 0.500, 0.000], [0.500, 0.000, 0.000], [0.249, 0.249, 0.749], [0.249, 0.749, 0.249], [0.251, 0.251, 0.251], [0.251, 0.751, 0.751], [0.749, 0.249, 0.249], [0.749, 0.749, 0.749], [0.751, 0.251, 0.751], [0.751, 0.751, 0.251]], "e_form_raw_mev_per_atom": -1972, "energy_ev_per_atom": -7.208}